No. 1
VASP calculation (PBE) on an optimized crystal structure of Cs2SrCl3.

Cell and atoms, written as CIF:
```
data_Cs2SrCl3
_space_group_name_H-M_alt 'C 1 2/c 1'
_space_group_IT_number 15
_space_group_name_Hall '-C 2yc'
_cell_length_a 14.7412
_cell_length_b 8.9623
_cell_length_c 8.9791
_cell_angle_alpha 90.00
_cell_angle_beta 111.27
_cell_angle_gamma 90.00
loop_
_atom_site_label
_atom_site_type_symbol
_atom_site_fract_x
_atom_site_fract_y
_atom_site_fract_z
_atom_site_occupancy
Cs1 Cs 0.1548 0.0590 0.0605 1
Sr1 Sr 0.0000 0.4909 0.2500 1
Cl1 Cl 0.0000 0.1693 0.2500 1
Cl2 Cl 0.1414 0.4739 0.0808 1
```

---

No. 2
VASP calculation (PBE) on an optimized crystal structure of Cs2TlF3.

Cell and atoms, written as CIF:
```
data_Cs2TlF3
_space_group_name_H-M_alt 'C m c m'
_space_group_IT_number 63
_space_group_name_Hall '-C 2c 2'
_cell_length_a 12.4336
_cell_length_b 7.5578
_cell_length_c 7.2597
_cell_angle_alpha 90.00
_cell_angle_beta 90.00
_cell_angle_gamma 90.00
loop_
_atom_site_label
_atom_site_type_symbol
_atom_site_fract_x
_atom_site_fract_y
_atom_site_fract_z
_atom_site_occupancy
Cs1 Cs 0.1717 0.1643 0.2500 1
Tl1 Tl 0.0000 0.4108 0.7500 1
F1 F 0.0000 0.0941 0.7500 1
F2 F 0.1698 0.5000 0.0000 1
```

Values from the calculation:
relative energy among the computed polymorphs	45	meV/atom

---

no.,N(E_F) (states/eV per cell),calculated total energy (eV for the cell shown),raw formation energy (kJ/mol of atoms)
1,8.6,-79.75,-177
2,0.0,-94.17,-223